(1)
First-principles (PBE) data for LaGeOs3 after structural relaxation, as listed in Alexandria via LeMat-Bulk.

Lattice parameters (Å, degrees): 4.6423 4.6423 4.6423 90.00 90.00 90.00
Sites, in units of the cell vectors:
Ge1 0.0000 0.0000 0.0000
Os1 0.0000 0.5000 0.0000
Os2 0.0000 0.0000 0.5000
Os3 0.5000 0.0000 0.0000
La1 0.5000 0.5000 0.5000

Results
- excess energy over the best structure of this formula in the dataset (meV per atom) = 0.0
- energy of formation (eV per atom) = 0.802
- SG = No. 221

(2)
First-principles (PBE) data for K3Te4Pb2 after structural relaxation, as listed in Alexandria via LeMat-Bulk.

Lattice parameters (Å, degrees): 5.4741 8.3486 11.7108 125.35 90.00 109.14
Sites, in units of the cell vectors:
Te1 0.0884 0.1769 0.3726
Te2 0.9116 0.8231 0.6274
Te3 0.3090 0.6181 0.8897
Te4 0.6910 0.3819 0.1103
Pb1 0.6762 0.3525 0.3473
Pb2 0.3238 0.6475 0.6527
K1 0.0000 0.0000 0.0000
K2 0.3665 0.7330 0.2337
K3 0.6335 0.2670 0.7663

Results
- excess energy over the best structure of this formula in the dataset (meV per atom) = 36.0
- SG = No. 12

(3)
First-principles (PBE) data for ReAs after structural relaxation, as listed in Alexandria via LeMat-Bulk.

Lattice parameters (Å, degrees): 4.7757 4.7757 4.6963 90.00 90.00 142.00
Sites, in units of the cell vectors:
Re1 0.0695 0.9305 0.2500
Re2 0.9305 0.0695 0.7500
As1 0.3538 0.6462 0.2500
As2 0.6462 0.3538 0.7500

Results
- excess energy over the best structure of this formula in the dataset (meV per atom) = 299.6
- energy of formation (eV per atom) = 0.375
- SG = No. 63

(4)
First-principles (PBE) data for RbMn2Se4 after structural relaxation, as listed in Alexandria via LeMat-Bulk.

Lattice parameters (Å, degrees): 3.8717 6.8140 13.1535 90.00 90.00 106.50
Sites, in units of the cell vectors:
Rb1 0.6013 0.2026 0.7500
Rb2 0.3987 0.7974 0.2500
Se1 0.5000 0.0000 0.0000
Se2 0.1023 0.2046 0.2500
Se3 0.2451 0.4902 0.5948
Se4 0.5000 0.0000 0.5000
Se5 0.7549 0.5098 0.0948
Se6 0.8977 0.7954 0.7500
Se7 0.7549 0.5098 0.4052
Se8 0.2451 0.4902 0.9052
Mn1 0.1350 0.2700 0.0636
Mn2 0.1350 0.2700 0.4364
Mn3 0.8650 0.7300 0.9364
Mn4 0.8650 0.7300 0.5636

Results
- SG = No. 63
- VASP energy (eV per atom) = -5.253

(5)
First-principles (PBE) data for LaRu3Pt after structural relaxation, as listed in Alexandria via LeMat-Bulk.

Lattice parameters (Å, degrees): 4.7304 4.7304 4.7304 90.00 90.00 90.00
Sites, in units of the cell vectors:
La1 0.0000 0.0000 0.0000
Ru1 0.0000 0.0000 0.5000
Ru2 0.5000 0.0000 0.0000
Ru3 0.0000 0.5000 0.0000
Pt1 0.5000 0.5000 0.5000

Results
- excess energy over the best structure of this formula in the dataset (meV per atom) = 963.6
- energy of formation (eV per atom) = 1.931
- SG = No. 221

(6)
First-principles (PBE) data for La2Al4Ga3Cu after structural relaxation, as listed in Alexandria via LeMat-Bulk.

Lattice parameters (Å, degrees): 4.3442 4.3442 10.6827 90.00 90.00 90.00
Sites, in units of the cell vectors:
Al1 0.0000 0.5000 0.3770
Al2 0.5000 0.0000 0.6230
Al3 0.5000 0.5000 0.0000
Al4 0.0000 0.0000 0.0000
Ga1 0.0000 0.5000 0.1397
Ga2 0.5000 0.0000 0.8603
Ga3 0.0000 0.0000 0.5000
La1 0.5000 0.0000 0.2567
La2 0.0000 0.5000 0.7433
Cu1 0.5000 0.5000 0.5000

Results
- energy of formation (eV per atom) = -0.481
- SG = No. 115

(7)
First-principles (PBE) data for KPtAu2Se after structural relaxation, as listed in Alexandria via LeMat-Bulk.

Lattice parameters (Å, degrees): 5.3329 5.0868 5.3329 90.00 90.00 90.00
Sites, in units of the cell vectors:
Se1 0.5000 0.5000 0.5000
K1 0.0000 0.0000 0.0000
Au1 0.5000 0.0000 0.0000
Au2 0.0000 0.0000 0.5000
Pt1 0.0000 0.5000 0.0000

Results
- SG = No. 123
- VASP energy (eV per atom) = -1.799

(8)
First-principles (PBE) data for YMg2In after structural relaxation, as listed in Alexandria via LeMat-Bulk.

Lattice parameters (Å, degrees): 4.8330 3.3343 6.5058 75.24 90.00 90.00
Sites, in units of the cell vectors:
Y1 0.0000 0.5480 0.5274
In1 0.5000 0.9423 0.7399
Mg1 0.0000 0.8083 0.0131
Mg2 0.5000 0.2014 0.2196

Results
- energy of formation (eV per atom) = -0.202
- SG = No. 6